Entry 1:
Computed, not measured: an optimized crystal structure of LiUSbIr at the PBE level of DFT.

Summary:
Energy relative to the elements, uncorrected: -298 meV per atom

Unit cell a=4.7623 b=4.7623 c=4.7623 alpha=60.00 beta=60.00 gamma=60.00
Fractional coordinates of all 4 atoms:
Li (0.0000, 0.0000, 0.0000)
U (0.7500, 0.7500, 0.7500)
Sb (0.2500, 0.2500, 0.2500)
Ir (0.5000, 0.5000, 0.5000)

Entry 2:
Computed, not measured: an optimized crystal structure of LiVSb2Ir at the PBE level of DFT.

Summary:
Energy relative to the elements, uncorrected: 723 meV per atom

Unit cell a=5.0999 b=5.0999 c=4.4411 alpha=90.00 beta=90.00 gamma=90.00
Fractional coordinates of all 5 atoms:
Li (0.0000, 0.0000, 0.0000)
V (0.5000, 0.5000, 0.0000)
Sb (0.0000, 0.5000, 0.5000)
Sb (0.5000, 0.0000, 0.5000)
Ir (0.0000, 0.0000, 0.5000)

Entry 3:
Computed, not measured: an optimized crystal structure of LiZrSbIr at the PBE level of DFT.

Summary:
Energy relative to the elements, uncorrected: -488 meV per atom

Unit cell a=4.6398 b=4.6398 c=4.6398 alpha=60.00 beta=60.00 gamma=60.00
Fractional coordinates of all 4 atoms:
Li (0.0000, 0.0000, 0.0000)
Zr (0.7500, 0.7500, 0.7500)
Sb (0.2500, 0.2500, 0.2500)
Ir (0.5000, 0.5000, 0.5000)

Entry 4:
Computed, not measured: an optimized crystal structure of Li2ScIr at the PBE level of DFT.

Summary:
Excess energy over the best structure of this formula in the dataset: 2.12 eV/f.u.

Unit cell a=2.7366 b=2.7366 c=9.0104 alpha=90.00 beta=90.00 gamma=90.00
Fractional coordinates of all 4 atoms:
Li (0.0000, 0.0000, 0.2051)
Li (0.0000, 0.0000, 0.7949)
Sc (0.5000, 0.5000, 0.5000)
Ir (0.5000, 0.5000, 0.0000)

Entry 5:
Computed, not measured: an optimized crystal structure of Li2ScIr2 at the PBE level of DFT.

Summary:
Excess energy over the best structure of this formula in the dataset: 0.63 eV/f.u.

Unit cell a=7.0359 b=7.0359 c=2.9935 alpha=90.00 beta=90.00 gamma=90.00
Fractional coordinates of all 10 atoms:
Li (0.1602, 0.3398, 0.0000)
Li (0.3398, 0.8398, 0.0000)
Li (0.6602, 0.1602, 0.0000)
Li (0.8398, 0.6602, 0.0000)
Sc (0.0000, 0.0000, 0.5000)
Sc (0.5000, 0.5000, 0.5000)
Ir (0.1334, 0.6334, 0.5000)
Ir (0.3666, 0.1334, 0.5000)
Ir (0.6334, 0.8666, 0.5000)
Ir (0.8666, 0.3666, 0.5000)

Entry 6:
Computed, not measured: an optimized crystal structure of LiSc2Ir at the PBE level of DFT.

Summary:
Raw total energy: -24.31 eV for the cell shown

Unit cell a=4.6792 b=3.1294 c=5.4621 alpha=90.00 beta=114.16 gamma=90.00
Fractional coordinates of all 4 atoms:
Li (0.0000, 0.0000, 0.0000)
Sc (0.0000, 0.0000, 0.5000)
Sc (0.5000, 0.5000, 0.0000)
Ir (0.5000, 0.5000, 0.5000)